Entry from Alexandria via LeMat-Bulk: a relaxed structure of SrTa2Mn (GGA-PBE).

Summary:
The mass density comes out at 9.3 g cm⁻³. The calculation puts the energy above the lowest structure with this stoichiometry at 0.24 eV per formula unit. As for the spin magnetization: 0.00 μB per formula unit. The calculation puts the total DFT energy (no corrections) at -8.06 eV per atom. The calculation puts the formation energy at 13.3 kcal/mol of atoms. The space group is Pm, No. 6.

Cell lengths 3.1127, 4.1119, 7.0990 Å; angles 90.00, 97.42, 90.00 degrees
Last column: nearest neighbours and their distance in Å.
Element x y z (fractional)
1 Sr 0.0000 0.0000 0.0000  2 Sr 3.11, 2 Mn 3.28, 1 Ta 3.37
2 Ta 0.1759 0.0000 0.5412  2 Mn 2.49
3 Ta 0.6564 0.5000 0.3580  1 Mn 2.27
4 Mn 0.5596 0.5000 0.6700  3 Ta 2.27-2.49

***

Entry from Alexandria via LeMat-Bulk: a relaxed structure of SrTa2Mn2 (GGA-PBE).

Summary:
The mass density comes out at 9.2 g cm⁻³. The calculation puts the energy above the lowest structure with this stoichiometry at 1.07 eV per formula unit. As for the spin magnetization: 0.65 μB per formula unit. The calculation puts the total DFT energy (no corrections) at -8.12 eV per atom. The calculation puts the formation energy at 14.5 kcal/mol of atoms. The space group is I4/mmm, No. 139.

Cell lengths 6.5377, 6.5377, 6.5377 Å; angles 142.82, 142.82, 53.60 degrees
Last column: nearest neighbours and their distance in Å.
Element x y z (fractional)
1 Sr 0.0000 0.0000 0.0000  8 Ta 3.37, 8 Mn 3.59
2 Ta 0.3600 0.3600 0.0000  4 Mn 2.45
3 Ta 0.6400 0.6400 0.0000  4 Mn 2.45
4 Mn 0.2500 0.7500 0.5000  4 Ta 2.45
5 Mn 0.7500 0.2500 0.5000  4 Ta 2.45